# U3S5

An optimized crystal structure of U3S5 (PBE, the Open Quantum Materials Database).

The structure in POSCAR format:
```
U3S5
1.0
-5.199 5.199 2.981
5.199 -5.199 2.981
5.199 5.199 -2.981
U S
6 10
direct
0.156 0.656 0.813 U
0.250 0.250 0.000 U
0.344 0.156 0.500 U
0.656 0.844 0.500 U
0.750 0.750 0.000 U
0.844 0.344 0.187 U
0.081 0.215 0.295 S
0.215 0.919 0.134 S
0.250 0.750 0.500 S
0.285 0.419 0.705 S
0.419 0.715 0.134 S
0.581 0.285 0.866 S
0.715 0.581 0.295 S
0.750 0.250 0.500 S
0.785 0.081 0.866 S
0.919 0.785 0.705 S
```

Summary:
Spin magnetization ... 15.5 μB/cell
Space-group type ... I4/mcm
Energy above the lowest structure with this stoichiometry ... 114 meV per atom

***

# Cu2Ag3

An optimized crystal structure of Cu2Ag3 (PBE, the Open Quantum Materials Database).

The structure in POSCAR format:
```
Cu2Ag3
1.0
4.861 0.000 0.000
-0.741 4.808 0.000
-2.416 -2.062 6.678
Cu Ag
4 6
direct
0.002 0.248 0.242 Cu
0.192 0.355 0.952 Cu
0.808 0.645 0.048 Cu
0.998 0.752 0.758 Cu
0.189 0.845 0.443 Ag
0.384 0.937 0.136 Ag
0.403 0.465 0.662 Ag
0.597 0.535 0.338 Ag
0.616 0.063 0.864 Ag
0.811 0.155 0.557 Ag
```

Summary:
Calculated formation energy ... 92 meV per atom
Space-group type ... P-1
Energy above the lowest structure with this stoichiometry ... 59 meV per atom

***

# TbSmBr2NCl

An optimized crystal structure of TbSmBr2NCl (PBE, the Open Quantum Materials Database).

The structure in POSCAR format:
```
TbSmBr2NCl
1.0
8.366 -1.966 0.000
8.366 1.966 0.000
-5.634 0.000 9.437
Tb Sm Br N Cl
2 2 4 2 2
direct
0.134 0.134 0.287 Tb
0.866 0.866 0.713 Tb
0.415 0.415 0.044 Sm
0.585 0.585 0.956 Sm
0.049 0.049 0.735 Br
0.337 0.337 0.482 Br
0.663 0.663 0.518 Br
0.951 0.951 0.265 Br
0.425 0.425 0.843 N
0.575 0.575 0.157 N
0.218 0.218 0.114 Cl
0.782 0.782 0.886 Cl
```

Summary:
Spin magnetization ... 0.0 μB/cell
Space-group type ... C2/m
Energy above the lowest structure with this stoichiometry ... 22 meV per atom

***

# LuScNi2Bi2

An optimized crystal structure of LuScNi2Bi2 (PBE, the Open Quantum Materials Database).

The structure in POSCAR format:
```
LuScNi2Bi2
1.0
9.261 0.000 0.000
0.000 4.617 0.000
-4.619 0.000 13.159
Lu Sc Ni Bi
4 4 8 8
direct
0.000 0.000 0.000 Lu
0.123 0.500 0.750 Lu
0.628 0.500 0.748 Lu
0.874 0.500 0.250 Lu
0.255 0.000 0.500 Sc
0.385 0.500 0.257 Sc
0.508 0.000 0.008 Sc
0.747 0.000 0.497 Sc
0.002 0.500 0.501 Ni
0.127 0.000 0.254 Ni
0.249 0.500 0.000 Ni
0.376 0.000 0.747 Ni
0.501 0.500 0.498 Ni
0.628 0.000 0.251 Ni
0.753 0.500 0.005 Ni
0.877 0.000 0.752 Ni
0.078 0.500 0.132 Bi
0.202 0.000 0.880 Bi
0.311 0.500 0.620 Bi
0.438 0.000 0.376 Bi
0.555 0.500 0.125 Bi
0.681 0.000 0.879 Bi
0.810 0.500 0.617 Bi
0.944 0.000 0.383 Bi
```

Summary:
Total energy ... -122.11 eV per cell
Spin magnetization ... 0.0 μB/cell
Space-group type ... Pm

***

# MgZrAu2

An optimized crystal structure of MgZrAu2 (PBE, the Open Quantum Materials Database).

The structure in POSCAR format:
```
MgZrAu2
1.0
4.806 0.000 0.000
-2.403 4.162 0.000
0.000 0.000 8.247
Mg Zr Au
2 2 4
direct
0.000 0.000 0.250 Mg
0.000 0.000 0.750 Mg
0.333 0.667 0.250 Zr
0.667 0.333 0.750 Zr
0.333 0.667 0.583 Au
0.333 0.667 0.917 Au
0.667 0.333 0.083 Au
0.667 0.333 0.417 Au
```

Summary:
Total energy ... -33.85 eV per cell
Spin magnetization ... 0.0 μB/cell
Space-group type ... P6_3/mmc

***

# ScOsW

An optimized crystal structure of ScOsW (PBE, the Open Quantum Materials Database).

The structure in POSCAR format:
```
ScOsW
1.0
0.000 3.073 3.073
3.073 0.000 3.073
3.073 3.073 0.000
Sc Os W
1 1 1
direct
0.000 0.000 0.000 Sc
0.250 0.250 0.250 Os
0.500 0.500 0.500 W
```

Summary:
Calculated formation energy ... 194 meV per atom
Spin magnetization ... 0.0 μB/cell
Space-group type ... F-43m

***

# OsPdNO

An optimized crystal structure of OsPdNO (PBE, the Open Quantum Materials Database).

The structure in POSCAR format:
```
OsPdNO
1.0
3.290 0.000 0.000
0.000 6.452 0.000
0.000 0.000 5.187
Os Pd N O
2 2 2 2
direct
0.000 0.182 0.000 Os
0.000 0.818 0.500 Os
0.500 0.438 0.473 Pd
0.500 0.562 0.973 Pd
0.500 0.271 0.136 N
0.500 0.729 0.636 N
0.000 0.101 0.649 O
0.000 0.899 0.149 O
```

Summary:
Spin magnetization ... 0.0 μB/cell
Space-group type ... Pmc2_1
Energy above the lowest structure with this stoichiometry ... 52 meV per atom

***

# HfSn2Ir

An optimized crystal structure of HfSn2Ir (PBE, the Open Quantum Materials Database).

The structure in POSCAR format:
```
HfSn2Ir
1.0
0.000 3.445 3.445
3.445 0.000 3.445
3.445 3.445 0.000
Hf Sn Ir
1 2 1
direct
0.000 0.000 0.000 Hf
0.250 0.250 0.250 Sn
0.500 0.500 0.500 Sn
0.750 0.750 0.750 Ir
```

Summary:
Total energy ... -26.89 eV per cell
Spin magnetization ... 0.1 μB/cell
Space-group type ... F-43m

***

# ThMg

An optimized crystal structure of ThMg (PBE, the Open Quantum Materials Database).

The structure in POSCAR format:
```
ThMg
1.0
5.401 0.000 0.000
0.000 7.799 0.000
0.000 0.000 5.393
Th Mg
4 4
direct
0.000 0.000 0.000 Th
0.000 0.260 0.504 Th
0.000 0.740 0.504 Th
0.500 0.000 0.492 Th
0.000 0.500 0.007 Mg
0.500 0.280 0.986 Mg
0.500 0.500 0.479 Mg
0.500 0.720 0.986 Mg
```

Summary:
Total energy ... -34.98 eV per cell
Spin magnetization ... 0.0 μB/cell
Space-group type ... Pmm2

***

# FeSiB4

An optimized crystal structure of FeSiB4 (PBE, the Open Quantum Materials Database).

The structure in POSCAR format:
```
FeSiB4
1.0
-1.471 2.614 3.170
1.471 -2.614 3.170
1.471 2.614 -3.170
Fe Si B
1 1 4
direct
0.000 0.000 0.000 Fe
0.500 0.500 0.000 Si
0.085 0.750 0.335 B
0.414 0.750 0.665 B
0.586 0.250 0.335 B
0.915 0.250 0.665 B
```

Summary:
Spin magnetization ... 2.0 μB/cell
Space-group type ... Immm
Energy above the lowest structure with this stoichiometry ... 14 meV per atom

***

# Pd4C2SeS

An optimized crystal structure of Pd4C2SeS (PBE, the Open Quantum Materials Database).

The structure in POSCAR format:
```
Pd4C2SeS
1.0
3.335 0.000 0.000
-1.668 2.888 0.000
0.000 0.000 11.795
Pd C Se S
4 2 1 1
direct
0.000 0.000 0.147 Pd
0.000 0.000 0.853 Pd
0.667 0.333 0.329 Pd
0.667 0.333 0.671 Pd
0.333 0.667 0.238 C
0.333 0.667 0.762 C
0.000 0.000 0.500 Se
0.667 0.333 0.000 S
```

Summary:
Total energy ... -41.69 eV per cell
Space-group type ... P-6m2

***

# NpGaMo

An optimized crystal structure of NpGaMo (PBE, the Open Quantum Materials Database).

The structure in POSCAR format:
```
NpGaMo
1.0
0.000 3.156 3.156
3.156 0.000 3.156
3.156 3.156 0.000
Np Ga Mo
1 1 1
direct
0.000 0.000 0.000 Np
0.500 0.500 0.500 Ga
0.750 0.750 0.750 Mo
```

Summary:
Spin magnetization ... 3.0 μB/cell
Space-group type ... F-43m
Energy above the lowest structure with this stoichiometry ... 0 meV per atom